Entry 1:
DFT (GGA-PBE) results for a relaxed Ba2TmOs2N6 crystal.

Calculated values
ΔE_f (raw)	-0.4593	eV/atom

```
Ba2TmOs2N6
1.0
-1.722 1.191 -5.871
-5.981 1.162 -1.319
-1.610 6.776 -1.462
Ba Os N Tm
2 2 6 1
direct
0.222 0.222 0.334
0.778 0.778 0.666
0.410 0.410 0.771
0.590 0.590 0.229
0.754 0.258 0.233
0.742 0.246 0.767
0.246 0.246 0.767
0.754 0.754 0.233
0.258 0.754 0.233
0.246 0.742 0.767
0.000 0.000 0.000
```

Entry 2:
DFT (GGA-PBE) results for a relaxed BaY2OsN4 crystal.

Calculated values
ΔE_f (raw)	-0.8581	eV/atom

```
BaY2OsN4
1.0
-2.681 1.501 -1.702
-2.618 -4.246 4.005
-0.685 8.562 8.628
N Ba Os Y
8 2 2 4
direct
0.746 0.491 0.893
0.254 0.509 0.393
0.386 0.773 0.750
0.614 0.227 0.250
0.746 0.491 0.607
0.000 0.000 0.000
0.000 0.000 0.500
0.254 0.509 0.107
0.929 0.857 0.250
0.071 0.143 0.750
0.191 0.383 0.250
0.809 0.617 0.750
0.370 0.740 0.959
0.630 0.260 0.041
0.370 0.740 0.541
0.630 0.260 0.459
```

Entry 3:
DFT (GGA-PBE) results for a relaxed Ba2ZnOsN4 crystal.

Calculated values
ΔE_f (raw)	-0.0501	eV/atom

```
Ba2ZnOsN4
1.0
-1.499 4.970 0.672
-2.939 1.111 5.614
7.964 4.552 4.489
N Ba Os Zn
8 4 2 2
direct
0.165 0.306 0.407
0.585 0.194 0.093
0.222 0.194 0.907
0.428 0.694 0.407
0.878 0.694 0.593
0.322 0.806 0.093
0.872 0.806 0.907
0.528 0.306 0.593
0.926 0.500 0.149
0.574 0.500 0.851
0.824 0.000 0.351
0.176 0.000 0.649
0.500 0.000 0.000
0.250 0.500 0.500
0.750 0.500 0.500
0.000 0.000 0.000
```

Entry 4:
DFT (GGA-PBE) results for a relaxed BaZrOsN2 crystal.

Calculated values
ΔE_f (raw)	2.3594	eV/atom

```
BaZrOsN2
1.0
-0.026 4.354 -0.448
-4.354 0.020 0.444
0.543 0.548 5.300
Os Ba Zr N
1 1 1 2
direct
0.000 0.000 0.500
0.000 0.000 0.000
0.500 0.500 0.500
0.000 0.500 0.000
0.500 0.000 0.000
```

Entry 5:
DFT (GGA-PBE) results for a relaxed Ba8PN2 crystal.

Calculated values
ΔE_f (raw)	-0.4132	eV/atom

```
Ba8PN2
1.0
-0.750 7.187 -0.123
-0.900 -0.118 9.163
8.542 0.767 3.354
Ba P N
8 1 2
direct
0.275 0.642 0.642
0.725 0.823 0.823
0.761 0.294 0.931
0.761 0.931 0.294
0.239 0.706 0.069
0.725 0.358 0.358
0.239 0.069 0.706
0.275 0.177 0.177
0.000 0.000 0.000
0.627 0.195 0.195
0.373 0.805 0.805
```

Entry 6:
DFT (GGA-PBE) results for a relaxed Ba6PN crystal.

Calculated values
ΔE_f (raw)	-0.3837	eV/atom

```
Ba6PN
1.0
-1.823 -6.423 -3.254
-2.109 -5.073 5.498
-7.631 -0.394 2.203
Ba P N
6 1 1
direct
0.282 0.246 0.000
0.255 0.845 0.716
0.745 0.155 0.284
0.745 0.439 0.716
0.718 0.754 0.000
0.255 0.561 0.284
0.000 0.000 0.000
0.500 0.500 0.000
```

Entry 7:
DFT (GGA-PBE) results for a relaxed Ba2PN4 crystal.

Calculated values
ΔE_f (raw)	0.1059	eV/atom

```
Ba2PN4
1.0
4.022 0.000 0.000
0.000 4.022 0.000
2.011 2.011 6.628
N Ba P
4 2 1
direct
0.000 0.500 0.000
0.127 0.127 0.746
0.873 0.873 0.254
0.500 0.000 0.000
0.357 0.357 0.286
0.643 0.643 0.714
0.000 0.000 0.000
```

Entry 8:
DFT (GGA-PBE) results for a relaxed BaP2N4 crystal.

Calculated values
ΔE_f (raw)	-0.8386	eV/atom

```
BaP2N4
1.0
10.341 0.000 0.000
0.000 10.341 0.000
0.000 0.000 10.341
Ba N P
12 48 24
direct
0.132 0.632 0.868
0.868 0.132 0.632
0.500 0.500 0.000
0.368 0.368 0.368
0.868 0.368 0.132
0.368 0.132 0.868
0.500 0.000 0.500
0.632 0.868 0.132
0.632 0.632 0.632
0.000 0.500 0.500
0.132 0.868 0.368
0.000 0.000 0.000
0.249 0.111 0.319
0.280 0.989 0.091
0.511 0.591 0.280
0.389 0.681 0.749
0.181 0.751 0.611
0.909 0.780 0.511
0.749 0.389 0.681
0.780 0.989 0.409
0.091 0.220 0.489
0.681 0.749 0.389
0.751 0.611 0.181
0.720 0.489 0.409
0.489 0.091 0.220
0.011 0.909 0.720
0.220 0.489 0.091
0.780 0.511 0.909
0.319 0.249 0.111
0.091 0.280 0.989
0.489 0.409 0.720
0.720 0.011 0.909
0.319 0.251 0.611
0.409 0.780 0.989
0.511 0.909 0.780
0.751 0.889 0.681
0.181 0.749 0.111
0.819 0.249 0.389
0.011 0.591 0.220
0.889 0.681 0.751
0.989 0.409 0.780
0.591 0.220 0.011
0.889 0.819 0.251
0.909 0.720 0.011
0.409 0.720 0.489
0.220 0.011 0.591
0.591 0.280 0.511
0.251 0.611 0.319
0.111 0.181 0.749
0.111 0.319 0.249
0.819 0.251 0.889
0.280 0.511 0.591
0.249 0.389 0.819
0.989 0.091 0.280
0.749 0.111 0.181
0.681 0.751 0.889
0.389 0.819 0.249
0.611 0.319 0.251
0.611 0.181 0.751
0.251 0.889 0.819
0.607 0.316 0.667
0.607 0.184 0.167
0.833 0.393 0.816
0.684 0.167 0.893
0.316 0.833 0.107
0.333 0.107 0.184
0.667 0.893 0.816
0.833 0.107 0.316
0.107 0.316 0.833
0.107 0.184 0.333
0.893 0.684 0.167
0.184 0.333 0.107
0.393 0.816 0.833
0.816 0.667 0.893
0.167 0.893 0.684
0.316 0.667 0.607
0.167 0.607 0.184
0.333 0.393 0.684
0.893 0.816 0.667
0.667 0.607 0.316
0.184 0.167 0.607
0.684 0.333 0.393
0.816 0.833 0.393
0.393 0.684 0.333
```